Entry P
Compound: CoGeNO
Source: OQMD via LeMat-Bulk
Functional: PBE with a Hubbard U
Structure: relaxed

abc: 3.5980 3.5980 7.9685
angles: 90.00 90.00 90.00
Closest atoms and distances in Å follow each position.
Space group P4/nmm (No. 129, origin choice 2)
Asymmetric unit:
Co  0.2500  0.7500  0.0000 x2  4 N 1.90
Ge  0.2500  0.2500  0.3692 x2  4 O 2.08
N  0.2500  0.2500  0.9238 x2  4 Co 1.90
O  0.2500  0.7500  0.5000 x2  4 Ge 2.08

Summary:
Volume ... 12.9 Å³/atom
Crystal system ... tetragonal

---

Entry Q
Compound: CoGeNO
Source: OQMD via LeMat-Bulk
Functional: PBE with a Hubbard U
Structure: relaxed

abc: 4.2402 4.2402 4.4936
angles: 90.00 90.00 90.00
Closest atoms and distances in Å follow each position.
Space group P4/nmm (No. 129, origin choice 2)
Asymmetric unit:
Co  0.2500  0.2500  0.0015 x2  4 O 2.12, 2 N 2.24-2.25
Ge  0.2500  0.7500  0.5000 x2  4 N 2.12, 2 O 2.25
N  0.2500  0.2500  0.5003 x2  4 Ge 2.12, 2 Co 2.24-2.25
O  0.2500  0.7500  0.0000 x2  4 Co 2.12, 2 Ge 2.25

Summary:
Volume ... 10.1 Å³/atom
Crystal system ... tetragonal

---

Which of them is most stable? Easy: entry Q.